Record 1
Here is an optimized crystal structure of LaSm5Bi5 from Alexandria. Energies are from PBE.

```
11
Lattice="6.4402 0.0000 0.0000 -3.2201 7.1418 -0.0762 0.0000 -2.7579 8.6500" Properties=species:S:1:pos:R:3 pbc="T T T"
Bi 0.0000 1.4714 2.9099
Bi 3.2201 4.2284 1.4270
Sm 0.0000 2.9692 5.7002
La 0.0000 0.0000 0.0000
Sm 3.2201 0.0785 7.1760
Bi 3.2201 0.0000 0.0000
Bi 3.2201 2.9126 5.6638
Sm 3.2201 1.4148 2.8736
Sm 0.0000 4.3055 1.3977
Bi 0.0000 0.1555 7.1468
Sm 0.0000 -1.3789 4.3250
```

Computed properties:
energy relative to the elements	-757	meV per atom

Record 2
Here is an optimized crystal structure of LaSm2Bi2 from Alexandria. Energies are from PBE.

```
5
Lattice="4.5734 -0.6470 0.4487 0.5884 4.5813 0.4487 1.7428 1.3283 8.1189" Properties=species:S:1:pos:R:3 pbc="T T T"
Sm 4.4513 1.3205 4.5082
Bi 4.4907 3.4227 6.9918
Bi 2.4139 1.8398 2.0246
Sm 2.4532 3.9420 4.5082
La 0.0000 0.0000 0.0000
```

Computed properties:
energy relative to the elements	-571	meV per atom

Record 3
Here is an optimized crystal structure of LaSm5Bi6 from Alexandria. Energies are from PBE.

```
12
Lattice="7.9387 0.2183 0.0000 2.4447 7.5560 0.0000 1.2223 3.7780 6.8781" Properties=species:S:1:pos:R:3 pbc="T T T"
Bi 5.0574 9.4759 4.5584
Bi 7.7689 5.8008 0.0000
Sm 6.4140 7.6652 2.2700
Bi 2.6145 1.9736 0.0000
Bi 6.5484 2.0765 2.3197
Sm 1.2223 3.7780 2.3017
Sm 5.1917 3.8872 4.6081
Sm 2.4447 7.5560 4.5764
Bi 3.8350 5.6979 2.3197
La 0.0000 0.0000 0.0000
Sm 5.1917 3.8872 0.0000
Bi 7.7707 5.8545 4.5584
```

Computed properties:
energy relative to the elements	-946	meV per atom

Record 4
Here is an optimized crystal structure of La5Sm3Bi8 from Alexandria. Energies are from PBE.

```
16
Lattice="-3.8326 1.8429 -8.2745 1.1815 -5.9039 -7.0922 -7.1565 -5.0977 -3.0506" Properties=species:S:1:pos:R:3 pbc="T T T"
Bi -7.9301 -3.8830 -10.2925
La -1.9163 0.9214 -4.1372
La 0.0000 0.0000 0.0000
La -1.3255 -2.0305 -7.6833
Bi -4.4092 -1.3643 -8.7217
Sm -5.4946 -1.6274 -5.6625
La 0.5908 -2.9520 -3.5461
Sm -3.5783 -2.5488 -1.5253
Bi -5.9950 -4.8135 -6.1146
La -4.9038 -4.5794 -9.2086
Bi -5.3984 -7.7945 -9.6956
Bi -1.8775 -5.2758 -8.1247
Bi -2.4974 -2.3169 -4.5893
Bi -3.8127 -4.3453 -12.3027
Bi -7.3102 -6.8419 -13.8280
Sm -2.9875 -5.5008 -5.0714
```

Computed properties:
energy relative to the elements	-1005	meV per atom

Record 5
Here is an optimized crystal structure of La5Sm5Bi6 from Alexandria. Energies are from PBE.

```
16
Lattice="-2.0366 3.8828 4.9427 -1.9781 -7.7639 5.2839 8.6937 4.0456 0.4041" Properties=species:S:1:pos:R:3 pbc="T T T"
Bi 7.9064 1.0527 2.4308
La 3.5970 3.0107 5.7390
Bi 4.1728 -2.3104 3.5343
Sm 7.1712 4.0514 4.1882
Bi 1.5412 0.5242 4.6392
La 0.0596 -0.9038 7.3565
Sm 6.5295 3.0355 0.3058
Bi 6.4530 1.1908 6.1394
Sm -1.4821 -5.8302 3.9693
Bi 2.3740 -3.3230 8.0046
Sm 4.0680 -0.8748 6.7793
Sm -0.8327 -4.8058 7.8481
Bi 1.3650 -6.1861 5.4220
La 1.0770 -2.8434 4.8875
La 4.6144 1.0711 3.2699
La 1.6424 -0.9093 1.3911
```

Computed properties:
energy relative to the elements	-783	meV per atom

Record 6
Here is an optimized crystal structure of LaSm2Bi3 from Alexandria. Energies are from PBE.

```
6
Lattice="-3.9161 0.9022 -2.2628 -3.3543 -3.3626 4.4643 2.8124 6.9910 2.6202" Properties=species:S:1:pos:R:3 pbc="T T T"
Sm -2.2273 2.1711 4.7204
Bi 0.0000 0.0000 0.0000
Bi -0.5419 3.7944 2.4508
Bi -3.9160 0.7362 2.3708
Sm -2.2306 2.3596 0.1013
La -1.6771 -1.6813 2.2322
```

Computed properties:
energy relative to the elements	-966	meV per atom